Ge2SbBr, optimized geometry, DFT PBE; relative energy among the computed polymorphs = 3.9 kJ/mol of atoms; ΔE_f (raw) = 0.97 eV/f.u.
1.0
-3.670 3.670 4.889
3.670 -3.670 4.889
3.670 3.670 -4.889
Ge Sb Br
4 2 2
Cartesian
5.506 1.701 -1.222
1.701 1.835 1.222
-1.835 1.970 3.667
1.970 1.835 6.112
0.000 0.000 0.000
0.000 3.670 2.445
3.670 0.000 2.445
0.000 0.000 4.889

ZnRhSe2N, optimized geometry, DFT PBE; relative energy among the computed polymorphs = 0.0 kJ/mol of atoms; ΔE_f (raw) = 2.13 eV/f.u.
1.0
5.159 0.000 0.000
0.000 5.159 0.000
0.000 0.000 3.619
Zn Rh Se N
1 1 2 1
Cartesian
0.000 0.000 0.000
2.579 2.579 1.809
0.000 2.579 1.809
2.579 0.000 1.809
2.579 2.579 0.000